Density functional theory data (PBE) for crystalline Ba2NiGeBr at its relaxed geometry.

Cell and atoms, written as POSCAR:
```
Ba2NiGeBr
1.0
-4.928 0.704 3.569
1.835 -4.707 3.463
2.276 2.795 2.592
Ni Ge Ba Br
1 1 2 1
Cartesian
0.000 0.000 0.000
1.138 1.397 1.296
0.918 -2.354 1.732
-2.464 0.352 1.784
-0.408 -0.604 4.812
```

Calculated values
As for the space-group type: P4/mmm (123). As for the uncorrected formation energy: -0.817 eV/atom. For the total moment, the calculation gives 0.00 μB/f.u. The value obtained for the calculated volume is 166.6 Å³/cell. The calculation puts the uncorrected energy at -4.0006 eV per atom.

---

Density functional theory data (PBE) for crystalline Ba8GeP3Br4 at its relaxed geometry.

Cell and atoms, written as POSCAR:
```
Ba8GeP3Br4
1.0
9.469 0.000 0.000
0.000 9.721 0.170
-4.735 -4.733 6.698
Ba Ge P Br
8 1 3 4
Cartesian
-2.320 2.355 6.651
0.000 4.673 3.369
0.000 0.321 3.573
2.320 2.355 6.651
2.415 2.634 0.218
4.735 4.667 3.296
4.735 0.316 3.500
7.054 2.634 0.218
0.000 4.861 0.085
4.735 4.861 0.085
2.367 2.494 3.434
-2.367 2.494 3.434
4.735 0.000 0.000
2.367 -2.366 3.349
0.000 0.000 0.000
-2.367 -2.366 3.349
```

Calculated values
As for the space-group type: R-3m (166). As for the uncorrected formation energy: -1.426 eV/atom. For the total moment, the calculation gives 1.07 μB/f.u. The value obtained for the calculated volume is 624.2 Å³/cell. The calculation puts the uncorrected energy at -4.1089 eV per atom.

---

Density functional theory data (PBE) for crystalline Ba8GeP3Br3 at its relaxed geometry.

Cell and atoms, written as POSCAR:
```
Ba8GeP3Br3
1.0
9.491 0.000 0.000
-4.745 8.218 -0.031
0.000 -5.453 7.983
Ba Ge P Br
8 1 3 3
Cartesian
0.000 2.745 2.289
4.745 0.021 5.663
4.745 2.733 2.274
0.000 0.033 5.678
7.106 -1.357 2.290
-2.361 4.123 5.662
2.384 -1.357 2.290
2.361 4.123 5.662
0.000 -2.726 3.991
4.745 -2.726 3.991
2.373 1.383 3.976
-2.373 1.383 3.976
0.000 0.000 0.000
-2.373 4.109 -0.016
2.373 4.109 -0.016
```

Calculated values
As for the space-group type: R-3m (166). As for the uncorrected formation energy: -1.290 eV/atom. For the total moment, the calculation gives 0.12 μB/f.u. The value obtained for the calculated volume is 621.0 Å³/cell. The calculation puts the uncorrected energy at -4.0396 eV per atom.

---

Density functional theory data (PBE) for crystalline Ba4Ge2PbSe8Br2 at its relaxed geometry.

Cell and atoms, written as POSCAR:
```
Ba4Ge2PbSe8Br2
1.0
9.270 0.000 0.000
0.000 9.585 0.000
0.000 0.000 12.642
Ba Ge Pb Se Br
8 4 2 16 4
Cartesian
3.628 7.261 0.990
0.865 2.337 7.259
5.500 2.455 5.383
8.263 7.117 11.653
5.500 7.130 5.383
8.263 2.468 11.653
3.628 2.324 0.990
0.865 7.248 7.259
6.429 4.793 1.845
7.451 4.793 8.330
2.816 0.000 4.312
1.794 0.000 10.797
0.325 4.793 3.307
4.960 0.000 9.335
5.807 4.793 12.189
7.975 4.793 5.925
3.340 0.000 6.718
1.172 0.000 0.453
4.439 4.793 3.132
0.242 4.793 9.535
4.877 0.000 3.107
9.073 0.000 9.510
7.667 6.758 2.391
6.575 2.630 8.635
1.941 2.163 4.007
3.032 7.619 10.252
1.941 7.423 4.007
3.032 1.966 10.252
7.667 2.827 2.391
6.575 6.955 8.635
1.350 4.793 0.356
3.277 4.793 6.791
7.911 0.000 5.851
5.985 0.000 12.286
```

Calculated values
As for the space-group type: Pmn2_1 (31). As for the uncorrected formation energy: -1.307 eV/atom. For the total moment, the calculation gives 0.00 μB/f.u. The value obtained for the calculated volume is 1123.3 Å³/cell. The calculation puts the uncorrected energy at -4.3572 eV per atom.

---

Density functional theory data (PBE) for crystalline Ba2GePtBr at its relaxed geometry.

Cell and atoms, written as POSCAR:
```
Ba2GePtBr
1.0
-0.886 5.704 2.541
-1.769 -2.690 5.423
4.444 0.036 1.468
Ge Br Ba Pt
1 1 2 1
Cartesian
2.222 0.018 0.734
0.895 1.525 4.716
-0.884 -1.345 2.712
-0.443 2.852 1.270
0.000 0.000 0.000
```

Calculated values
As for the space-group type: P4/mmm (123). As for the uncorrected formation energy: -1.022 eV/atom. For the total moment, the calculation gives 0.00 μB/f.u. The value obtained for the calculated volume is 186.2 Å³/cell. The calculation puts the uncorrected energy at -4.2576 eV per atom.

---

Density functional theory data (PBE) for crystalline BaGe2PtBr at its relaxed geometry.

Cell and atoms, written as POSCAR:
```
BaGe2PtBr
1.0
5.283 0.000 0.000
0.000 5.135 0.000
0.000 0.000 5.283
Ge Br Ba Pt
2 1 1 1
Cartesian
0.000 0.000 2.641
2.641 0.000 0.000
0.000 0.000 0.000
2.641 2.568 2.641
0.000 2.568 0.000
```

Calculated values
As for the space-group type: P4/mmm (123). As for the uncorrected formation energy: 0.342 eV/atom. For the total moment, the calculation gives 0.00 μB/f.u. The value obtained for the calculated volume is 143.3 Å³/cell. The calculation puts the uncorrected energy at -3.4319 eV per atom.

---

- Which of these has the highest total moment?
  Ba8GeP3Br4

---

What did the third record say?
Density functional theory data (PBE) for crystalline Ba8GeP3Br3 at its relaxed geometry.

Cell and atoms, written as POSCAR:
```
Ba8GeP3Br3
1.0
9.491 0.000 0.000
-4.745 8.218 -0.031
0.000 -5.453 7.983
Ba Ge P Br
8 1 3 3
Cartesian
0.000 2.745 2.289
4.745 0.021 5.663
4.745 2.733 2.274
0.000 0.033 5.678
7.106 -1.357 2.290
-2.361 4.123 5.662
2.384 -1.357 2.290
2.361 4.123 5.662
0.000 -2.726 3.991
4.745 -2.726 3.991
2.373 1.383 3.976
-2.373 1.383 3.976
0.000 0.000 0.000
-2.373 4.109 -0.016
2.373 4.109 -0.016
```

Calculated values
As for the space-group type: R-3m (166). As for the uncorrected formation energy: -1.290 eV/atom. For the total moment, the calculation gives 0.12 μB/f.u. The value obtained for the calculated volume is 621.0 Å³/cell. The calculation puts the uncorrected energy at -4.0396 eV per atom.

---

- What is the total moment in the fourth record?
  0.00 μB/f.u.